1.
Entry from Alexandria: EuIO2 after structural relaxation (PBE).

Total moment ... 18.557 μB/cell
Energy relative to the elements, uncorrected ... -1.747 eV/atom
Crystal system ... trigonal

Cell: 3.8175 3.8175 19.2916 Å, 90.00 90.00 120.00°
Space group R-3m (No. 166, hexagonal axes)
Unique sites:
Eu (0.0000, 0.0000, 0.0000) [3 per cell]
I (0.0000, 0.0000, 0.5000) [3 per cell]
O (0.0000, 0.0000, 0.3874) [6 per cell]



2.
Entry from Alexandria: Eu2IO after structural relaxation (PBE).

Total moment ... 14.955 μB/cell
Energy relative to the elements, uncorrected ... -1.352 eV/atom
Excess energy over the best structure of this formula in the dataset ... 502 meV per atom
Crystal system ... tetragonal

Cell: 3.507 3.507 7.584 Å, 90.00 90.00 90.00°
Space group P4/mmm (No. 123)
Unique sites:
Eu (0.000, 0.000, 0.199) [2 per cell]
I (0.500, 0.500, 0.500) [1 per cell]
O (0.500, 0.500, 0.000) [1 per cell]



3.
Entry from Alexandria: Eu2IO after structural relaxation (PBE).

Total moment ... 44.845 μB/cell
Energy relative to the elements, uncorrected ... -1.854 eV/atom
Excess energy over the best structure of this formula in the dataset ... 0 meV per atom
Crystal system ... trigonal

Cell: 3.8969 3.8969 22.8326 Å, 90.00 90.00 120.00°
Space group R-3m (No. 166, hexagonal axes)
Unique sites:
Eu (0.0000, 0.0000, 0.2233) [6 per cell]
I (0.0000, 0.0000, 0.0000) [3 per cell]
O (0.0000, 0.0000, 0.5000) [3 per cell]



4.
Entry from Alexandria: Eu4I6O after structural relaxation (PBE).

Total moment ... 56.000 μB/cell
Energy relative to the elements, uncorrected ... -1.827 eV/atom
Crystal system ... hexagonal

Cell: 10.4776 10.4776 8.0870 Å, 90.00 90.00 120.00°
Space group P6_3mc (No. 186)
Unique sites:
Eu (0.2074, 0.4147, 0.0000) [6 per cell]
Eu (0.3333, 0.6667, 0.6124) [2 per cell]
I (0.0722, 0.5361, 0.3062) [6 per cell]
I (0.1367, 0.2734, 0.6258) [6 per cell]
O (0.3333, 0.6667, 0.9070) [2 per cell]



5.
Entry from Alexandria: EuI3O9 after structural relaxation (PBE).

Total moment ... 23.803 μB/cell
Energy relative to the elements, uncorrected ... -0.824 eV/atom
Crystal system ... monoclinic

Cell: 8.951 6.029 16.966 Å, 90.00 115.15 90.00°
Space group P2_1/c (No. 14)
Unique sites:
Eu (0.140, 0.230, 0.099) [4 per cell]
I (0.063, 0.185, 0.350) [4 per cell]
I (0.359, 0.637, 0.521) [4 per cell]
I (0.416, 0.594, 0.802) [4 per cell]
O (0.065, 0.057, 0.704) [4 per cell]
O (0.089, 0.091, 0.458) [4 per cell]
O (0.105, 0.613, 0.673) [4 per cell]
O (0.133, 0.592, 0.487) [4 per cell]
O (0.329, 0.588, 0.882) [4 per cell]
O (0.348, 0.183, 0.255) [4 per cell]
O (0.362, 0.090, 0.946) [4 per cell]
O (0.369, 0.005, 0.629) [4 per cell]
O (0.403, 0.028, 0.119) [4 per cell]



6.
Entry from Alexandria: EuIO after structural relaxation (PBE).

Total moment ... 11.994 μB/cell
Energy relative to the elements, uncorrected ... -2.143 eV/atom
Crystal system ... tetragonal

Cell: 4.048 4.048 10.015 Å, 90.00 90.00 90.00°
Space group P4/nmm (No. 129, origin choice 2)
Unique sites:
Eu (0.250, 0.250, 0.113) [2 per cell]
I (0.250, 0.250, 0.686) [2 per cell]
O (0.250, 0.750, 0.000) [2 per cell]



7.
Entry from Alexandria: Eu2PbI after structural relaxation (PBE).

Total moment ... 42.852 μB/cell
Energy relative to the elements, uncorrected ... -0.847 eV/atom
Excess energy over the best structure of this formula in the dataset ... 3 meV per atom
Crystal system ... trigonal

Cell: 4.5270 4.5270 25.0907 Å, 90.00 90.00 120.00°
Space group R-3m (No. 166, hexagonal axes)
Unique sites:
Eu (0.0000, 0.0000, 0.2453) [6 per cell]
Pb (0.0000, 0.0000, 0.5000) [3 per cell]
I (0.0000, 0.0000, 0.0000) [3 per cell]



8.
Entry from Alexandria: EuPbI2 after structural relaxation (PBE).

Total moment ... 22.637 μB/cell
Energy relative to the elements, uncorrected ... -0.421 eV/atom
Crystal system ... trigonal

Cell: 4.1964 4.1964 33.6478 Å, 90.00 90.00 120.00°
Space group R-3m (No. 166, hexagonal axes)
Unique sites:
Eu (0.0000, 0.0000, 0.0000) [3 per cell]
Pb (0.0000, 0.0000, 0.5000) [3 per cell]
I (0.0000, 0.0000, 0.0941) [6 per cell]



9.
Entry from Alexandria: Eu2PbI after structural relaxation (PBE).

Total moment ... 14.496 μB/cell
Energy relative to the elements, uncorrected ... -0.850 eV/atom
Excess energy over the best structure of this formula in the dataset ... 0 meV per atom
Crystal system ... tetragonal

Cell: 3.902 3.902 8.814 Å, 90.00 90.00 90.00°
Space group P4/mmm (No. 123)
Unique sites:
Eu (0.000, 0.000, 0.236) [2 per cell]
Pb (0.500, 0.500, 0.000) [1 per cell]
I (0.500, 0.500, 0.500) [1 per cell]



10.
Entry from Alexandria: EuPdI2 after structural relaxation (PBE).

Total moment ... 20.330 μB/cell
Energy relative to the elements, uncorrected ... -0.292 eV/atom
Crystal system ... trigonal

Cell: 4.2795 4.2795 27.8535 Å, 90.00 90.00 120.00°
Space group R-3m (No. 166, hexagonal axes)
Unique sites:
Eu (0.0000, 0.0000, 0.0000) [3 per cell]
Pd (0.0000, 0.0000, 0.5000) [3 per cell]
I (0.0000, 0.0000, 0.1116) [6 per cell]



11.
Entry from Alexandria: PmEu2I after structural relaxation (PBE).

Total moment ... 14.838 μB/cell
Energy relative to the elements, uncorrected ... -0.463 eV/atom
Crystal system ... tetragonal

Cell: 3.823 3.823 10.257 Å, 90.00 90.00 90.00°
Space group P4/mmm (No. 123)
Unique sites:
Pm (0.000, 0.000, 0.000) [1 per cell]
Eu (0.500, 0.500, 0.270) [2 per cell]
I (0.000, 0.000, 0.500) [1 per cell]



12.
Entry from Alexandria: Pr2EuI after structural relaxation (PBE).

Total moment ... 22.656 μB/cell
Energy relative to the elements, uncorrected ... -0.209 eV/atom
Crystal system ... trigonal

Cell: 3.7586 3.7586 36.4103 Å, 90.00 90.00 120.00°
Space group R-3m (No. 166, hexagonal axes)
Unique sites:
Pr (0.0000, 0.0000, 0.0960) [6 per cell]
Eu (0.0000, 0.0000, 0.0000) [3 per cell]
I (0.0000, 0.0000, 0.5000) [3 per cell]



Number 1: energy -86.2 eV per cell. Number 2: energy -32.5 eV per cell. Number 3: energy -103.4 eV per cell. Number 4: energy -150.9 eV per cell. Number 5: energy -281.0 eV per cell. Number 6: energy -46.4 eV per cell. Number 7: energy -87.6 eV per cell. Number 8: energy -56.3 eV per cell. Number 9: energy -29.2 eV per cell. Number 10: energy -59.2 eV per cell. Number 11: energy -28.7 eV per cell. Number 12: energy -66.7 eV per cell.